1.
# NaTm2Hg8 | Alexandria via LeMat-Bulk | GGA-PBE | optimized geometry
data_NaTm2Hg8
_cell_length_a 5.017
_cell_length_b 7.073
_cell_length_c 8.676
_cell_angle_alpha 66.22
_cell_angle_beta 73.58
_cell_angle_gamma 90.00
_space_group_name_H-M_alt 'P 1'
_space_group_IT_number 1
_space_group_name_Hall 'P 1'
loop_
_atom_site_label
_atom_site_fract_x
_atom_site_fract_y
_atom_site_fract_z
Na1 0.000 0.000 0.000
Tm1 0.310 0.308 0.388
Tm2 0.690 0.692 0.612
Hg1 0.141 0.424 0.712
Hg2 0.143 0.869 0.707
Hg3 0.340 0.836 0.324
Hg4 0.499 0.290 0.002
Hg5 0.501 0.710 0.998
Hg6 0.660 0.164 0.676
Hg7 0.857 0.131 0.293
Hg8 0.859 0.576 0.288
# total magnetic moment: 0.00 μB per formula unit
# V: 268 Å³/cell
# calculated total energy: -1.3804 eV per atom
# SG: P-1, No. 2

=====

2.
# TlTcH2 | Alexandria via LeMat-Bulk | GGA-PBE | optimized geometry
data_TlTcH2
_cell_length_a 4.968
_cell_length_b 4.968
_cell_length_c 4.968
_cell_angle_alpha 109.01
_cell_angle_beta 109.01
_cell_angle_gamma 110.39
_space_group_name_H-M_alt 'P 1'
_space_group_IT_number 1
_space_group_name_Hall 'P 1'
loop_
_atom_site_label
_atom_site_fract_x
_atom_site_fract_y
_atom_site_fract_z
Tl1 0.000 0.000 0.000
Tl2 0.750 0.250 0.500
Tc1 0.250 0.750 0.500
Tc2 0.500 0.500 0.000
H1 0.238 0.625 0.113
H2 0.375 0.488 0.613
H3 0.512 0.125 0.887
H4 0.875 0.762 0.387
# total magnetic moment: 0.00 μB per formula unit
# V: 94 Å³/cell
# calculated total energy: -4.4378 eV per atom
# excess energy over the best structure of this formula in the dataset: 0 meV per atom
# SG: I-42d, No. 122

=====

3.
# NdCdNiPd | Alexandria via LeMat-Bulk | GGA-PBE | optimized geometry
data_NdCdNiPd
_cell_length_a 4.818
_cell_length_b 4.818
_cell_length_c 4.818
_cell_angle_alpha 60.00
_cell_angle_beta 60.00
_cell_angle_gamma 60.00
_space_group_name_H-M_alt 'P 1'
_space_group_IT_number 1
_space_group_name_Hall 'P 1'
loop_
_atom_site_label
_atom_site_fract_x
_atom_site_fract_y
_atom_site_fract_z
Nd1 0.000 0.000 0.000
Cd1 0.500 0.500 0.500
Ni1 0.750 0.750 0.750
Pd1 0.250 0.250 0.250
# total magnetic moment: 0.00 μB per formula unit
# V: 79 Å³/cell
# calculated total energy: -4.5437 eV per atom
# SG: F-43m, No. 216

=====

4.
# Bi2As2I | Alexandria via LeMat-Bulk | GGA-PBE | optimized geometry
data_Bi2As2I
_cell_length_a 7.850
_cell_length_b 7.850
_cell_length_c 6.991
_cell_angle_alpha 113.82
_cell_angle_beta 113.82
_cell_angle_gamma 98.92
_space_group_name_H-M_alt 'P 1'
_space_group_IT_number 1
_space_group_name_Hall 'P 1'
loop_
_atom_site_label
_atom_site_fract_x
_atom_site_fract_y
_atom_site_fract_z
Bi1 0.084 0.916 0.750
Bi2 0.349 0.651 0.250
Bi3 0.651 0.349 0.750
Bi4 0.916 0.084 0.250
As1 0.014 0.264 0.773
As2 0.264 0.014 0.273
As3 0.736 0.986 0.727
As4 0.986 0.736 0.227
I1 0.372 0.628 0.750
I2 0.628 0.372 0.250
# total magnetic moment: 0.00 μB per formula unit
# V: 333 Å³/cell
# calculated total energy: -3.6497 eV per atom
# excess energy over the best structure of this formula in the dataset: 105 meV per atom
# SG: C2/c, No. 15

=====

5.
# MgGa | Alexandria via LeMat-Bulk | GGA-PBE | optimized geometry
data_MgGa
_cell_length_a 3.174
_cell_length_b 3.174
_cell_length_c 4.568
_cell_angle_alpha 90.00
_cell_angle_beta 90.00
_cell_angle_gamma 120.00
_space_group_name_H-M_alt 'P 1'
_space_group_IT_number 1
_space_group_name_Hall 'P 1'
loop_
_atom_site_label
_atom_site_fract_x
_atom_site_fract_y
_atom_site_fract_z
Mg1 0.000 0.000 0.000
Ga1 0.667 0.333 0.500
# total magnetic moment: 0.00 μB per formula unit
# V: 40 Å³/cell
# calculated total energy: -2.4001 eV per atom
# SG: P-6m2, No. 187

=====

6.
# TbZnGa | Alexandria via LeMat-Bulk | GGA-PBE | optimized geometry
data_TbZnGa
_cell_length_a 8.086
_cell_length_b 8.086
_cell_length_c 8.086
_cell_angle_alpha 150.52
_cell_angle_beta 150.52
_cell_angle_gamma 42.18
_space_group_name_H-M_alt 'P 1'
_space_group_IT_number 1
_space_group_name_Hall 'P 1'
loop_
_atom_site_label
_atom_site_fract_x
_atom_site_fract_y
_atom_site_fract_z
Tb1 0.000 0.000 0.000
Tb2 0.750 0.250 0.500
Zn1 0.169 0.669 0.500
Zn2 0.331 0.831 0.500
Ga1 0.418 0.418 0.000
Ga2 0.582 0.582 0.000
# total magnetic moment: 0.00 μB per formula unit
# V: 128 Å³/cell
# calculated total energy: -3.4615 eV per atom
# SG: I-4m2, No. 119

=====

7.
# CaTeSeBr2 | Alexandria via LeMat-Bulk | GGA-PBE | optimized geometry
data_CaTeSeBr2
_cell_length_a 5.381
_cell_length_b 5.381
_cell_length_c 6.054
_cell_angle_alpha 90.00
_cell_angle_beta 90.00
_cell_angle_gamma 90.00
_space_group_name_H-M_alt 'P 1'
_space_group_IT_number 1
_space_group_name_Hall 'P 1'
loop_
_atom_site_label
_atom_site_fract_x
_atom_site_fract_y
_atom_site_fract_z
Ca1 0.000 0.000 0.000
Te1 0.500 0.500 0.500
Se1 0.000 0.000 0.500
Br1 0.000 0.500 0.000
Br2 0.500 0.000 0.000
# total magnetic moment: 1.28 μB per formula unit
# V: 175 Å³/cell
# calculated total energy: -2.8761 eV per atom
# excess energy over the best structure of this formula in the dataset: 0 meV per atom
# SG: P4/mmm, No. 123

=====

8.
# Sr2InTc | Alexandria via LeMat-Bulk | GGA-PBE | optimized geometry
data_Sr2InTc
_cell_length_a 5.613
_cell_length_b 5.613
_cell_length_c 6.473
_cell_angle_alpha 101.01
_cell_angle_beta 101.01
_cell_angle_gamma 37.29
_space_group_name_H-M_alt 'P 1'
_space_group_IT_number 1
_space_group_name_Hall 'P 1'
loop_
_atom_site_label
_atom_site_fract_x
_atom_site_fract_y
_atom_site_fract_z
Sr1 0.241 0.241 0.237
Sr2 0.759 0.759 0.763
In1 0.000 0.000 0.500
Tc1 0.500 0.500 0.000
# total magnetic moment: 2.51 μB per formula unit
# V: 121 Å³/cell
# calculated total energy: -3.4369 eV per atom
# SG: C2/m, No. 12

=====

Copy entry 7 word for word.
# CaTeSeBr2 | Alexandria via LeMat-Bulk | GGA-PBE | optimized geometry
data_CaTeSeBr2
_cell_length_a 5.381
_cell_length_b 5.381
_cell_length_c 6.054
_cell_angle_alpha 90.00
_cell_angle_beta 90.00
_cell_angle_gamma 90.00
_space_group_name_H-M_alt 'P 1'
_space_group_IT_number 1
_space_group_name_Hall 'P 1'
loop_
_atom_site_label
_atom_site_fract_x
_atom_site_fract_y
_atom_site_fract_z
Ca1 0.000 0.000 0.000
Te1 0.500 0.500 0.500
Se1 0.000 0.000 0.500
Br1 0.000 0.500 0.000
Br2 0.500 0.000 0.000
# total magnetic moment: 1.28 μB per formula unit
# V: 175 Å³/cell
# calculated total energy: -2.8761 eV per atom
# excess energy over the best structure of this formula in the dataset: 0 meV per atom
# SG: P4/mmm, No. 123

=====

Which value of calculated total energy does entry 4 give?
-3.6497 eV per atom

=====

Repeat the fourth record exactly.
# Bi2As2I | Alexandria via LeMat-Bulk | GGA-PBE | optimized geometry
data_Bi2As2I
_cell_length_a 7.850
_cell_length_b 7.850
_cell_length_c 6.991
_cell_angle_alpha 113.82
_cell_angle_beta 113.82
_cell_angle_gamma 98.92
_space_group_name_H-M_alt 'P 1'
_space_group_IT_number 1
_space_group_name_Hall 'P 1'
loop_
_atom_site_label
_atom_site_fract_x
_atom_site_fract_y
_atom_site_fract_z
Bi1 0.084 0.916 0.750
Bi2 0.349 0.651 0.250
Bi3 0.651 0.349 0.750
Bi4 0.916 0.084 0.250
As1 0.014 0.264 0.773
As2 0.264 0.014 0.273
As3 0.736 0.986 0.727
As4 0.986 0.736 0.227
I1 0.372 0.628 0.750
I2 0.628 0.372 0.250
# total magnetic moment: 0.00 μB per formula unit
# V: 333 Å³/cell
# calculated total energy: -3.6497 eV per atom
# excess energy over the best structure of this formula in the dataset: 105 meV per atom
# SG: C2/c, No. 15